*A*
This record from the Alexandria database describes a geometry-optimized La2YSc structure. The functional is GGA-PBEsol.

Unit cell a=3.509 b=3.509 c=34.131 alpha=90.00 beta=90.00 gamma=120.00
Sites, in units of the cell vectors:
La1 0.000 0.000 0.000
La2 0.000 0.000 0.245
La3 0.333 0.667 0.667
La4 0.333 0.667 0.912
La5 0.667 0.333 0.333
La6 0.667 0.333 0.579
Y1 0.000 0.000 0.755
Y2 0.333 0.667 0.421
Y3 0.667 0.333 0.088
Sc1 0.000 0.000 0.498
Sc2 0.333 0.667 0.165
Sc3 0.667 0.333 0.832

Values from the calculation:
SG   R3m
Total magnetization   0.00 μB/cell

---

*B*
This record from the Alexandria database describes a geometry-optimized La2YSc structure. The functional is GGA-PBEsol.

Unit cell a=7.895 b=7.895 c=7.895 alpha=90.00 beta=90.00 gamma=90.00
Sites, in units of the cell vectors:
La1 0.250 0.250 0.250
La2 0.250 0.250 0.750
La3 0.250 0.750 0.250
La4 0.250 0.750 0.750
La5 0.750 0.250 0.250
La6 0.750 0.250 0.750
La7 0.750 0.750 0.250
La8 0.750 0.750 0.750
Y1 0.000 0.000 0.000
Y2 0.000 0.500 0.500
Y3 0.500 0.000 0.500
Y4 0.500 0.500 0.000
Sc1 0.000 0.000 0.500
Sc2 0.000 0.500 0.000
Sc3 0.500 0.000 0.000
Sc4 0.500 0.500 0.500

Values from the calculation:
SG   Fm-3m
Total magnetization   0.00 μB/cell

---

In order of decreasing stability: *A*, *B*.

---

*A*
This record from the Alexandria database describes a geometry-optimized MoRu3 structure. The functional is GGA-PBEsol.

Unit cell a=2.730 b=4.299 c=4.689 alpha=90.00 beta=90.00 gamma=90.00
Sites, in units of the cell vectors:
Mo1 0.000 0.000 0.000
Ru1 0.000 0.500 0.337
Ru2 0.500 0.000 0.492
Ru3 0.500 0.500 0.831

Values from the calculation:
SG   Pmm2
Total magnetization   0.00 μB/cell

---

*B*
This record from the Alexandria database describes a geometry-optimized MoRu3 structure. The functional is GGA-PBEsol.

Unit cell a=6.089 b=6.089 c=6.089 alpha=90.00 beta=90.00 gamma=90.00
Sites, in units of the cell vectors:
Mo1 0.000 0.000 0.000
Mo2 0.000 0.500 0.500
Mo3 0.500 0.000 0.500
Mo4 0.500 0.500 0.000
Ru1 0.000 0.000 0.500
Ru2 0.000 0.500 0.000
Ru3 0.250 0.250 0.250
Ru4 0.250 0.250 0.750
Ru5 0.250 0.750 0.250
Ru6 0.250 0.750 0.750
Ru7 0.500 0.000 0.000
Ru8 0.500 0.500 0.500
Ru9 0.750 0.250 0.250
Ru10 0.750 0.250 0.750
Ru11 0.750 0.750 0.250
Ru12 0.750 0.750 0.750

Values from the calculation:
SG   Fm-3m
Total magnetization   4.86 μB/cell

---

In order of decreasing stability: *A*, *B*.

---

*A*
This record from the Alexandria database describes a geometry-optimized Be3Ag structure. The functional is GGA-PBEsol.

Unit cell a=3.822 b=4.882 c=4.398 alpha=90.00 beta=90.00 gamma=90.00
Sites, in units of the cell vectors:
Be1 0.250 0.013 0.141
Be2 0.250 0.487 0.141
Be3 0.250 0.750 0.721
Be4 0.750 0.250 0.279
Be5 0.750 0.513 0.859
Be6 0.750 0.987 0.859
Ag1 0.250 0.250 0.638
Ag2 0.750 0.750 0.362

Values from the calculation:
SG   Pmmn
Total magnetization   0.00 μB/cell

---

*B*
This record from the Alexandria database describes a geometry-optimized Be3Ag structure. The functional is GGA-PBEsol.

Unit cell a=3.071 b=3.671 c=7.312 alpha=90.00 beta=90.00 gamma=90.00
Sites, in units of the cell vectors:
Be1 0.000 0.000 0.000
Be2 0.000 0.500 0.257
Be3 0.000 0.500 0.743
Be4 0.500 0.000 0.243
Be5 0.500 0.000 0.757
Be6 0.500 0.500 0.500
Ag1 0.000 0.000 0.500
Ag2 0.500 0.500 0.000

Values from the calculation:
SG   Immm
Total magnetization   0.00 μB/cell

---

In order of decreasing stability: *A*, *B*.